No. 1
# TbDyTm2Th, relaxed, DFT GGA-PBE
# total magnetization = 0.00 μB/f.u.
# energy of formation = 0.37 eV per atom
data_TbDyTm2Th
_space_group_name_H-M_alt 'P 1 2/c 1'
_space_group_IT_number 13
_space_group_name_Hall '-P 2yc'
_cell_length_a 8.201
_cell_length_b 6.048
_cell_length_c 6.906
_cell_angle_alpha 90.00
_cell_angle_beta 97.88
_cell_angle_gamma 90.00
loop_
_atom_site_label
_atom_site_type_symbol
_atom_site_fract_x
_atom_site_fract_y
_atom_site_fract_z
Tb1 Tb 0.000 0.000 0.000
Dy1 Dy 0.500 0.089 0.250
Tm1 Tm 0.333 0.414 0.579
Th1 Th 0.000 0.468 0.250



No. 2
# TbDyTmTh2, relaxed, DFT GGA-PBE
# total magnetization = 0.00 μB/f.u.
# energy of formation = 0.41 eV per atom
data_TbDyTmTh2
_space_group_name_H-M_alt 'C m c m'
_space_group_IT_number 63
_space_group_name_Hall '-C 2c 2'
_cell_length_a 6.635
_cell_length_b 15.534
_cell_length_c 6.638
_cell_angle_alpha 90.00
_cell_angle_beta 90.00
_cell_angle_gamma 90.00
loop_
_atom_site_label
_atom_site_type_symbol
_atom_site_fract_x
_atom_site_fract_y
_atom_site_fract_z
Tb1 Tb 0.000 0.248 0.250
Dy1 Dy 0.000 0.152 0.750
Tm1 Tm 0.000 0.349 0.750
Th1 Th 0.250 0.000 0.000



No. 3
# Tb3Dy6TmTh2, relaxed, DFT GGA-PBE
# total magnetization = 0.00 μB/f.u.
# energy of formation = 0.02 eV per atom
data_Tb3Dy6TmTh2
_space_group_name_H-M_alt 'C 1 2/m 1'
_space_group_IT_number 12
_space_group_name_Hall '-C 2y'
_cell_length_a 6.151
_cell_length_b 10.647
_cell_length_c 11.762
_cell_angle_alpha 90.00
_cell_angle_beta 100.06
_cell_angle_gamma 90.00
loop_
_atom_site_label
_atom_site_type_symbol
_atom_site_fract_x
_atom_site_fract_y
_atom_site_fract_z
Tb1 Tb 0.000 0.000 0.000
Tb2 Tb 0.000 0.333 0.000
Dy1 Dy 0.246 0.000 0.748
Dy2 Dy 0.249 0.168 0.253
Tm1 Tm 0.000 0.500 0.500
Th1 Th 0.000 0.167 0.500



No. 4
# Tb3DyTm6Th2, relaxed, DFT GGA-PBE
# total magnetization = 0.00 μB/f.u.
# energy of formation = 0.02 eV per atom
data_Tb3DyTm6Th2
_space_group_name_H-M_alt 'C 1 2/m 1'
_space_group_IT_number 12
_space_group_name_Hall '-C 2y'
_cell_length_a 6.122
_cell_length_b 10.597
_cell_length_c 11.633
_cell_angle_alpha 90.00
_cell_angle_beta 100.12
_cell_angle_gamma 90.00
loop_
_atom_site_label
_atom_site_type_symbol
_atom_site_fract_x
_atom_site_fract_y
_atom_site_fract_z
Tb1 Tb 0.000 0.000 0.000
Tb2 Tb 0.000 0.334 0.000
Dy1 Dy 0.000 0.500 0.500
Tm1 Tm 0.246 0.000 0.748
Tm2 Tm 0.249 0.169 0.252
Th1 Th 0.000 0.167 0.500